# PrSm2WO8

A relaxed structure of PrSm2WO8 (PBE with a Hubbard U, the Alexandria database).

Summary:
As for the total magnetic moment: 0.94 μB/f.u. The calculation puts the electronic total energy at -7.835 eV per atom.

Structure (CIF):
```
data_PrSm2WO8
_cell_length_a 5.166
_cell_length_b 5.167
_cell_length_c 7.081
_cell_angle_alpha 90.00
_cell_angle_beta 90.00
_cell_angle_gamma 90.36
_space_group_name_H-M_alt 'P 1'
_space_group_IT_number 1
_space_group_name_Hall 'P 1'
loop_
_atom_site_label
_atom_site_fract_x
_atom_site_fract_y
_atom_site_fract_z
Sm1 0.500 0.500 0.244
O1 0.180 0.818 0.797
O2 0.730 0.732 0.000
O3 0.180 0.818 0.203
O4 0.820 0.182 0.203
W1 0.000 0.000 0.000
O5 0.315 0.313 0.500
O6 0.270 0.268 0.000
Sm2 0.500 0.500 0.756
Pr1 0.000 0.000 0.500
O7 0.685 0.687 0.500
O8 0.820 0.182 0.797
```